{
  "formula": "BaCuB",
  "functional": "PBE",
  "state": "optimized geometry",
  "lattice": [[0.000, 3.310, 3.310], [3.310, 0.000, 3.310], [3.310, 3.310, 0.000]],
  "species": ["Ba", "Cu", "B"],
  "frac_coords": [[0.000, 0.000, 0.000], [0.750, 0.750, 0.750], [0.500, 0.500, 0.500]],
  "relative_energy_mev_per_atom": 175.7,
  "total_energy_ev_per_atom": -2.966
}